# Rb2UAlO6

A geometry-optimized Rb2UAlO6 structure (PBE-GGA, Alexandria via LeMat-Bulk).

Lattice parameters (Å, degrees): 6.0533 6.0533 6.0533 123.89 123.89 83.38
Closest atoms and distances in Å follow each position.
Element x y z (fractional)
Rb1 0.0000 0.5000 0.5000  12 O 2.85-3.06
Rb2 0.5000 0.0000 0.5000  12 O 2.85-3.06
U1 0.2368 0.2368 0.0000  2 O 1.90-2.11
Al1 0.7877 0.7877 0.0000  5 O 1.90-1.95
O1 0.0029 0.0029 0.0000  1 Al 1.95, 1 U 2.11
O2 0.4474 0.4474 0.0000  1 U 1.90
O3 0.5152 0.5152 0.5385  1 Al 1.90
O4 0.5152 0.9767 0.0000  1 Al 1.90
O5 0.9767 0.5152 0.0000  1 Al 1.90
O6 0.9767 0.9767 0.4615  1 Al 1.90

The value obtained for the total energy is -70.8 eV per formula unit. Its space-group type is No. 107. The calculation puts the formation energy (no corrections) at -232.1 kJ per mole of atoms.

=====

# RbUAlO6

A geometry-optimized RbUAlO6 structure (PBE-GGA, Alexandria via LeMat-Bulk).

Lattice parameters (Å, degrees): 5.3035 5.3035 6.4052 90.00 90.00 120.00
Closest atoms and distances in Å follow each position.
Element x y z (fractional)
Rb1 0.0000 0.0000 0.0000  6 O 2.93
U1 0.3333 0.6667 0.5000  6 O 2.04
Al1 0.6667 0.3333 0.5000  6 O 1.92
O1 0.3882 0.0169 0.6689  1 Al 1.92, 1 U 2.04
O2 0.3882 0.3714 0.3311  1 Al 1.92, 1 U 2.04
O3 0.6286 0.0169 0.3311  1 Al 1.92, 1 U 2.04
O4 0.6286 0.6118 0.6689  1 Al 1.92, 1 U 2.04
O5 0.9831 0.3714 0.6689  1 Al 1.92, 1 U 2.04
O6 0.9831 0.6118 0.3311  1 Al 1.92, 1 U 2.04

The value obtained for the total energy is -66.2 eV per formula unit. Its space-group type is No. 149. The calculation puts the formation energy (no corrections) at -219.7 kJ per mole of atoms.

=====

# RbUAl2O6

A geometry-optimized RbUAl2O6 structure (PBE-GGA, Alexandria via LeMat-Bulk).

Lattice parameters (Å, degrees): 7.4939 7.4939 6.0316 101.85 101.85 90.09
Closest atoms and distances in Å follow each position.
Element x y z (fractional)
Rb1 0.0886 0.9114 0.7500  6 O 2.72-2.94
Rb2 0.9114 0.0886 0.2500  6 O 2.72-2.94
U1 0.2976 0.7024 0.2500  4 O 2.01-2.15
U2 0.7024 0.2976 0.7500  4 O 2.01-2.15
Al1 0.2109 0.3700 0.8398  4 O 1.76-1.83
Al2 0.3700 0.2109 0.3398  4 O 1.76-1.83
Al3 0.6300 0.7891 0.6602  4 O 1.76-1.83
Al4 0.7891 0.6300 0.1602  4 O 1.76-1.83
O1 0.0160 0.7138 0.2752  1 Al 1.76
O2 0.2280 0.6139 0.9051  1 Al 1.79
O3 0.2858 0.3560 0.1441  2 Al 1.79-1.83
O4 0.2862 0.9840 0.2248  1 Al 1.76
O5 0.3560 0.2858 0.6441  2 Al 1.79-1.83
O6 0.3861 0.7720 0.5949  1 Al 1.79
O7 0.6139 0.2280 0.4051  1 Al 1.79
O8 0.6440 0.7142 0.3559  2 Al 1.79-1.83
O9 0.7138 0.0160 0.7752  1 Al 1.76
O10 0.7142 0.6440 0.8559  2 Al 1.79-1.83
O11 0.7720 0.3861 0.0949  1 Al 1.79
O12 0.9840 0.2862 0.7248  1 Al 1.76

The value obtained for the total energy is -77.5 eV per formula unit. Its space-group type is No. 15. The calculation puts the formation energy (no corrections) at -270.6 kJ per mole of atoms.

=====

# RbU2AlO8

A geometry-optimized RbU2AlO8 structure (PBE-GGA, Alexandria via LeMat-Bulk).

Lattice parameters (Å, degrees): 4.9994 5.0026 7.2141 87.55 87.53 83.05
Closest atoms and distances in Å follow each position.
Element x y z (fractional)
Rb1 0.0000 0.0000 0.0000  6 O 2.59-2.65
U1 0.4871 0.4870 0.2646  4 O 1.97-2.02
U2 0.5129 0.5130 0.7354  4 O 1.97-2.02
Al1 0.0000 0.0000 0.5000  4 O 1.89
O1 0.1936 0.7900 0.6843  1 Al 1.89, 1 U 2.02
O2 0.2108 0.8069 0.3156  1 Al 1.89, 1 U 2.02
O3 0.3120 0.3127 0.4886  1 U 2.02
O4 0.3448 0.3465 0.9564  1 U 1.97
O5 0.6552 0.6535 0.0436  1 U 1.97
O6 0.6880 0.6873 0.5114  1 U 2.02
O7 0.7892 0.1931 0.6844  1 Al 1.89, 1 U 2.02
O8 0.8064 0.2100 0.3157  1 Al 1.89, 1 U 2.02

The value obtained for the total energy is -99.7 eV per formula unit. Its space-group type is No. 2. The calculation puts the formation energy (no corrections) at -263.2 kJ per mole of atoms.

=====

no.,density (g/cm³),calculated volume (Å³ per atom)
1,6.0,14.7
2,4.8,17.3
3,4.9,16.2
4,6.7,14.9